4
Lattice="-4.064 -1.992 -1.925 0.609 -3.875 -2.968 0.770 1.762 4.527" Properties=species:S:1:pos:R:3 comment="ZnCoRu2 | Alexandria via LeMat-Bulk | GGA-PBE | relaxed" volume_a3_per_atom=13.1 m_tot_mub_per_cell=1.473 formation_enthalpy_0k_ev_per_fu=0.60 pbc="T T T"
Ru -3.432 -5.828 -4.861
Ru -0.186 -2.543 -0.460
Co -2.489 -1.545 0.108
Zn -1.761 -2.990 -2.494